RbP2H: optimized geometry, GGA-PBE.

Results
Energy above the most stable polymorph in this dataset: 4.24 eV per formula unit

Cell: 4.935 4.935 4.935 Å, 60.00 60.00 60.00°
Positions (direct):
H 0.000 0.000 0.000
P 0.250 0.250 0.250
P 0.750 0.750 0.750
Rb 0.500 0.500 0.500

Rb2PH5: optimized geometry, GGA-PBE.

Results
E: -0.11168 Ha/atom

Cell: 6.029 6.029 5.773 Å, 121.47 121.47 90.00°
Positions (direct):
H 0.190 0.190 0.982
H 0.830 0.830 0.660
H 0.792 0.190 0.982
H 0.190 0.792 0.982
H 0.792 0.792 0.982
Rb 0.234 0.734 0.469
Rb 0.734 0.234 0.469
P 0.013 0.013 0.027

RbP3H2: optimized geometry, GGA-PBE.

Results
E: -0.14838 Ha/atom

Cell: 5.444 5.444 8.853 Å, 80.21 80.21 82.18°
Positions (direct):
P 0.830 0.670 0.750
P 0.101 0.823 0.523
P 0.677 0.399 0.977
P 0.170 0.330 0.250
P 0.899 0.177 0.477
P 0.323 0.601 0.023
Rb 0.699 0.801 0.250
Rb 0.301 0.199 0.750
H 0.788 0.896 0.818
H 0.604 0.712 0.682
H 0.396 0.288 0.318
H 0.212 0.104 0.182

Rb4PH: optimized geometry, GGA-PBE.

Results
E: -0.08037 Ha/atom

Cell: 6.551 9.288 10.745 Å, 90.00 90.00 110.64°
Positions (direct):
H 0.724 0.948 0.750
H 0.276 0.052 0.250
Rb 0.597 0.693 0.930
Rb 0.597 0.693 0.570
Rb 0.750 0.000 0.250
Rb 0.403 0.307 0.070
Rb 0.899 0.297 0.750
Rb 0.403 0.307 0.430
Rb 0.101 0.703 0.250
Rb 0.250 0.000 0.750
P 0.437 0.374 0.750
P 0.563 0.626 0.250

RbP3H: optimized geometry, GGA-PBE.

Results
Energy above the most stable polymorph in this dataset: 6.30 eV per formula unit

Cell: 7.079 7.079 7.079 Å, 90.00 90.00 90.00°
Each line ends with the local moment (μB).
Positions (direct):
P 0.500 0.000 0.000  0.98
P 0.000 0.500 0.000  1.07
P 0.000 0.000 0.500  1.13
H 0.500 0.500 0.500  0.38
Rb 0.000 0.000 0.000  0.03

Rb12P3H5: optimized geometry, GGA-PBE.

Results
E: -0.08555 Ha/atom

Cell: 15.939 15.939 15.939 Å, 109.47 109.47 109.47°
Each line ends with the local moment (μB).
Positions (direct):
H 0.125 0.375 0.250  0.00
H 0.875 0.625 0.750  0.00
H 0.000 0.500 0.500  0.00
H 0.750 0.625 0.375  0.00
H 0.125 0.750 0.375  0.00
H 0.500 0.000 0.000  0.00
H 0.375 0.125 0.750  0.00
H 0.625 0.750 0.875  0.00
H 0.750 0.125 0.875  0.00
H 0.500 0.000 0.500  0.00
H 0.625 0.875 0.250  0.00
H 0.500 0.500 0.000  0.00
H 0.000 0.500 0.000  0.00
H 0.250 0.875 0.125  0.00
H 0.000 0.000 0.000  0.00
H 0.375 0.250 0.125  0.00
H 0.500 0.500 0.500  0.00
H 0.000 0.000 0.500  0.00
H 0.250 0.375 0.625  0.00
H 0.875 0.250 0.625  0.00
Rb 0.870 0.287 0.465  0.01
Rb 0.630 0.594 0.916  0.01
Rb 0.965 0.594 0.178  0.01
Rb 0.584 0.713 0.678  0.01
Rb 0.035 0.630 0.713  0.01
Rb 0.594 0.965 0.678  0.01
Rb 0.406 0.370 0.584  0.01
Rb 0.713 0.130 0.035  0.01
Rb 0.535 0.322 0.906  0.01
Rb 0.906 0.822 0.535  0.01
Rb 0.178 0.084 0.713  0.01
Rb 0.965 0.370 0.287  0.01
Rb 0.406 0.035 0.322  0.01
Rb 0.916 0.822 0.787  0.01
Rb 0.416 0.130 0.594  0.01
Rb 0.535 0.213 0.130  0.01
Rb 0.465 0.787 0.870  0.01
Rb 0.322 0.787 0.416  0.01
Rb 0.787 0.465 0.370  0.01
Rb 0.713 0.584 0.178  0.01
Rb 0.594 0.630 0.416  0.01
Rb 0.906 0.084 0.870  0.01
Rb 0.870 0.584 0.906  0.01
Rb 0.584 0.870 0.406  0.01
Rb 0.678 0.465 0.594  0.01
Rb 0.370 0.965 0.787  0.01
Rb 0.916 0.094 0.630  0.01
Rb 0.416 0.287 0.322  0.01
Rb 0.370 0.406 0.084  0.01
Rb 0.094 0.916 0.130  0.01
Rb 0.130 0.713 0.535  0.01
Rb 0.178 0.094 0.965  0.01
Rb 0.822 0.916 0.287  0.01
Rb 0.678 0.213 0.584  0.01
Rb 0.630 0.035 0.213  0.01
Rb 0.084 0.178 0.213  0.01
Rb 0.322 0.535 0.406  0.01
Rb 0.465 0.678 0.094  0.01
Rb 0.084 0.906 0.370  0.01
Rb 0.287 0.870 0.965  0.01
Rb 0.787 0.322 0.916  0.01
Rb 0.213 0.678 0.084  0.01
Rb 0.035 0.406 0.822  0.01
Rb 0.094 0.178 0.465  0.01
Rb 0.287 0.416 0.822  0.01
Rb 0.822 0.906 0.035  0.01
Rb 0.213 0.535 0.630  0.01
Rb 0.130 0.416 0.094  0.01
P 0.750 0.875 0.625  0.25
P 0.375 0.750 0.625  0.25
P 0.250 0.625 0.875  0.25
P 0.625 0.375 0.750  0.25
P 0.625 0.250 0.375  0.25
P 0.125 0.875 0.750  0.25
P 0.875 0.125 0.250  0.25
P 0.750 0.375 0.125  0.25
P 0.875 0.750 0.125  0.25
P 0.250 0.125 0.375  0.25
P 0.375 0.625 0.250  0.25
P 0.125 0.250 0.875  0.25

Rb2PH2: optimized geometry, GGA-PBE.

Results
Energy above the most stable polymorph in this dataset: 2.48 eV per formula unit

Cell: 3.403 3.403 9.715 Å, 79.91 79.91 90.00°
Positions (direct):
Rb 0.366 0.366 0.268
Rb 0.634 0.634 0.732
H 0.250 0.750 0.500
H 0.750 0.250 0.500
P 0.000 0.000 0.000

RbPH3: optimized geometry, GGA-PBE.

Results
Energy above the most stable polymorph in this dataset: 0.59 eV per formula unit

Cell: 3.892 3.892 3.892 Å, 90.00 90.00 90.00°
Positions (direct):
H 0.500 0.000 0.000
H 0.000 0.500 0.000
H 0.000 0.000 0.500
Rb 0.500 0.500 0.500
P 0.000 0.000 0.000

RbP2H: optimized geometry, GGA-PBE.

Results
Energy above the most stable polymorph in this dataset: 0.00 eV per formula unit

Cell: 5.961 5.961 6.034 Å, 60.40 60.40 90.00°
Positions (direct):
P 0.375 0.125 0.250
P 0.375 0.625 0.750
P 0.875 0.625 0.750
P 0.375 0.625 0.250
H 0.500 0.500 0.000
H 0.250 0.750 0.500
Rb 0.000 0.000 0.000
Rb 0.750 0.250 0.500

Rb4P2H: optimized geometry, GGA-PBE.

Results
E: -0.09875 Ha/atom

Cell: 5.762 5.762 8.971 Å, 71.27 71.27 60.00°
Each line ends with the local moment (μB).
Positions (direct):
P 0.930 0.930 0.209  0.21
P 0.070 0.070 0.791  0.21
Rb 0.207 0.207 0.379  0.01
Rb 0.635 0.635 0.096  0.00
Rb 0.365 0.365 0.904  0.00
Rb 0.793 0.793 0.621  0.01
H 0.000 0.000 0.000  -0.01

RbP2H6: optimized geometry, GGA-PBE.

Results
E: -0.13014 Ha/atom

Cell: 6.876 6.876 8.259 Å, 100.02 100.02 125.60°
Positions (direct):
H 0.114 0.549 0.151
H 0.655 0.502 0.653
H 0.398 0.964 0.849
H 0.626 0.578 0.412
H 0.828 0.376 0.912
H 0.849 0.003 0.347
H 0.463 0.916 0.088
H 0.166 0.213 0.588
H 0.214 0.148 0.349
H 0.752 0.405 0.153
H 0.253 0.599 0.847
H 0.799 0.864 0.651
Rb 0.159 0.159 0.000
Rb 0.409 0.909 0.500
P 0.500 0.847 0.927
P 0.921 0.573 0.073
P 0.097 0.250 0.427
P 0.823 0.671 0.573

RbP3H6: optimized geometry, GGA-PBE.

Results
E: -0.13201 Ha/atom

Cell: 5.034 6.279 6.279 Å, 113.13 105.50 105.50°
Positions (direct):
H 0.641 0.487 0.487
H 0.154 0.513 0.000
H 0.850 0.227 0.000
H 0.850 0.000 0.227
H 0.623 0.773 0.773
H 0.154 0.000 0.513
Rb 0.272 0.000 0.000
P 0.858 0.458 0.000
P 0.400 0.542 0.542
P 0.858 0.000 0.458